## CaGeMoO6 (GGA+U)

Data for an optimized crystal structure of CaGeMoO6.

Cell lengths 4.8082, 4.8082, 9.3099 Å; angles 90.00, 90.00, 90.00 degrees
Fractional coordinates of all 18 atoms:
Ge1 0.5000 0.5000 0.8343
Mo1 0.5000 0.5000 0.1719
Ge2 0.0000 0.0000 0.3343
O1 0.2153 0.7847 0.8042
Mo2 0.0000 0.0000 0.6719
O2 0.7875 0.2125 0.1930
Ca1 0.5000 0.5000 0.5043
Ca2 0.0000 0.0000 0.0043
O3 0.1710 0.8290 0.4976
O4 0.3290 0.3290 0.9976
O5 0.7153 0.7153 0.3042
O6 0.2125 0.7875 0.1930
O7 0.7125 0.7125 0.6930
O8 0.2875 0.2875 0.6930
O9 0.6710 0.6710 0.9976
O10 0.2847 0.2847 0.3042
O11 0.7847 0.2153 0.8042
O12 0.8290 0.1710 0.4976

Summary:
The value obtained for the density of states at the Fermi level is 0.00 states/eV/atom. The calculation puts the uncorrected energy at -6.694 eV per atom.